BaZnGeH2: optimized geometry, PBE-GGA.

Cell: 4.4957 4.4957 7.0915 Å, 90.00 90.00 90.00°
With the nearest neighbours (Å) after each atom.
Positions (direct):
H 0.0000 0.5000 0.0000  2 Ba 2.25
Ge 0.5000 0.5000 0.5000  4 Zn 3.18
Ba 0.0000 0.0000 0.0000  4 H 2.25
H 0.5000 0.0000 0.0000  2 Ba 2.25
Zn 0.0000 0.0000 0.5000  4 Ge 3.18, 2 Ba 3.55

The calculation puts the density of states at the Fermi level at 3.8 states/eV/f.u. The calculation puts the total magnetic moment at 0.3 μB/cell. The crystal system is tetragonal. Its uncorrected energy is -2.313 eV/atom.